# SmPaCu2

A geometry-optimized SmPaCu2 structure (PBE, Alexandria).

Cell: 4.927 4.927 4.927 Å, 60.00 60.00 60.00°
Last column: magnetic moment on the atom in μB.
Positions (direct):
Pa1 0.000 0.000 0.000  0.52
Cu1 0.250 0.250 0.250  0.02
Cu2 0.750 0.750 0.750  0.02
Sm1 0.500 0.500 0.500  0.17

**Space-group type**: Fm-3m (225)
**Volume**: 21.1 Å³/atom
**ΔE to the lowest computed polymorph**: 1.83 kcal/mol of atoms
**Formation enthalpy at 0 K**: 0.12 eV per atom